Computed, not measured: a geometry-optimized PmMgAu structure at the PBE level of DFT.

```
3
Lattice="4.8019 0.0000 0.0000 -2.4009 4.1586 0.0000 0.0000 0.0000 3.6186" Properties=species:S:1:pos:R:3 pbc="T T T"
Pm 0.0000 0.0000 0.0000
Mg 0.0000 2.7724 1.8093
Au 2.4009 1.3862 1.8093
```

Results
E above lowest polymorph = 136 meV/atom
energy of formation from the pure elements = -0.52 eV per atom
DFT total energy = -3.7296 eV/atom
total magnetization = 0.000 μB/cell